[1]
{"formula": "Li3Sb4Te8", "functional": "PBE-GGA", "state": "relaxed", "e_tot_ev_per_atom": -3.476, "crystal_system": "monoclinic", "space_group": "C2/m, No. 12", "formation_energy_uncorrected_ev_per_atom": -0.32, "cell": [[-0.035, 7.599, -3.952], [-6.482, -2.078, 5.286], [5.756, -1.532, 6.229]], "species": ["Li", "Te", "Te", "Te", "Te", "Te", "Te", "Te", "Sb", "Sb", "Li", "Te", "Sb", "Li", "Sb"], "frac_coords": [[0.500, 0.500, 0.500], [0.500, 0.250, 0.750], [0.000, 0.751, 0.249], [0.010, 0.261, 0.261], [0.501, 0.747, 0.747], [0.499, 0.253, 0.253], [0.000, 0.249, 0.751], [0.990, 0.739, 0.739], [0.000, 0.500, 0.000], [0.500, 0.000, 0.000], [0.500, 0.000, 0.500], [0.500, 0.750, 0.250], [0.000, 0.000, 0.000], [0.500, 0.500, 0.000], [0.000, 0.000, 0.500]]}



[2]
{"formula": "YPu2Sc6", "functional": "PBE-GGA", "state": "relaxed", "e_tot_ev_per_atom": -7.995, "e_form_ev_per_atom": 0.129, "crystal_system": "monoclinic", "space_group": "C2/c, No. 15", "cell": [[-0.671, -7.699, 2.899], [2.526, -1.296, 8.004], [-5.486, 1.674, 5.936]], "species": ["Pu", "Sc", "Sc", "Pu", "Sc", "Sc", "Y", "Y", "Sc", "Sc", "Sc", "Sc", "Sc", "Sc", "Pu", "Sc", "Sc", "Pu"], "frac_coords": [[0.775, 0.571, 0.588], [0.988, 0.692, 0.801], [0.613, 0.643, 0.922], [0.588, 0.071, 0.775], [0.199, 0.808, 0.012], [0.672, 0.031, 0.417], [0.834, 0.750, 0.166], [0.166, 0.250, 0.834], [0.012, 0.308, 0.199], [0.328, 0.969, 0.583], [0.078, 0.857, 0.387], [0.387, 0.357, 0.078], [0.417, 0.531, 0.672], [0.922, 0.143, 0.613], [0.225, 0.429, 0.412], [0.583, 0.469, 0.328], [0.801, 0.192, 0.988], [0.412, 0.929, 0.225]]}



[3]
{"formula": "BaReAu2", "functional": "PBE-GGA", "state": "relaxed", "e_tot_ev_per_atom": -4.460, "e_form_ev_per_atom": 0.771, "crystal_system": "trigonal", "space_group": "R-3m, No. 166", "e_above_lowest_polymorph_mev_per_atom": 539, "cell": [[-9.056, 2.963, -4.022], [-10.061, 2.050, -1.242], [-8.955, 4.914, -1.624]], "species": ["Au", "Re", "Ba", "Au"], "frac_coords": [[0.487, 0.487, 0.487], [0.750, 0.750, 0.750], [0.250, 0.250, 0.250], [0.013, 0.013, 0.013]]}



[4]
{"formula": "MgV2Ir2", "functional": "PBE-GGA", "state": "relaxed", "e_tot_ev_per_atom": -7.871, "e_form_ev_per_atom": -0.360, "crystal_system": "tetragonal", "space_group": "P4/mbm, No. 127", "e_above_lowest_polymorph_mev_per_atom": 0, "cell": [[-5.954, 0.712, 4.398], [0.125, -7.311, 1.353], [1.674, 0.435, 2.196]], "species": ["Ir", "Ir", "V", "V", "Mg", "Mg", "V", "V", "Ir", "Ir"], "frac_coords": [[0.134, 0.366, 0.000], [0.366, 0.866, 0.000], [0.160, 0.660, 0.500], [0.340, 0.160, 0.500], [0.500, 0.500, 0.000], [0.000, 0.000, 0.000], [0.660, 0.840, 0.500], [0.840, 0.340, 0.500], [0.634, 0.134, 0.000], [0.866, 0.634, 0.000]]}



[5]
{"formula": "Nd7SmEr3", "functional": "PBE-GGA", "state": "relaxed", "e_tot_ev_per_atom": -4.589, "e_form_ev_per_atom": 0.118, "crystal_system": "monoclinic", "space_group": "C2/c, No. 15", "e_above_lowest_polymorph_mev_per_atom": 0, "cell": [[-5.830, 5.636, -6.258], [7.393, -7.072, -0.500], [-9.312, -6.677, 6.653]], "species": ["Nd", "Er", "Nd", "Nd", "Nd", "Nd", "Nd", "Nd", "Er", "Nd", "Er", "Nd", "Nd", "Er", "Nd", "Nd", "Nd", "Er", "Sm", "Er", "Nd", "Sm"], "frac_coords": [[0.862, 0.541, 0.454], [0.500, 0.021, 0.752], [0.574, 0.904, 0.484], [0.541, 0.861, 0.955], [0.552, 0.448, 0.750], [0.904, 0.574, 0.984], [0.090, 0.910, 0.750], [0.448, 0.552, 0.250], [0.020, 0.499, 0.252], [0.910, 0.090, 0.250], [0.980, 0.501, 0.748], [0.911, 0.090, 0.750], [0.096, 0.426, 0.016], [0.000, 0.000, 0.000], [0.426, 0.096, 0.516], [0.459, 0.139, 0.045], [0.138, 0.459, 0.546], [0.500, 0.979, 0.248], [0.500, 0.500, 0.500], [0.000, 0.000, 0.500], [0.089, 0.910, 0.250], [0.500, 0.500, 0.000]]}



[6]
{"formula": "Tb2Sm5Dy", "functional": "PBE-GGA", "state": "relaxed", "e_tot_ev_per_atom": -4.514, "e_form_ev_per_atom": 0.168, "crystal_system": "monoclinic", "space_group": "P2_1/m, No. 11", "e_above_lowest_polymorph_mev_per_atom": 153, "cell": [[2.095, 3.108, -8.075], [-7.254, -8.792, 11.934], [-8.017, 7.940, 0.977]], "species": ["Sm", "Sm", "Dy", "Tb", "Dy", "Tb", "Sm", "Sm", "Tb", "Sm", "Sm", "Sm", "Sm", "Sm", "Tb", "Sm"], "frac_coords": [[0.383, 0.046, 0.924], [0.516, 0.319, 0.580], [0.350, 0.849, 0.750], [0.315, 0.426, 0.618], [0.650, 0.151, 0.250], [0.315, 0.426, 0.882], [0.448, 0.686, 0.750], [0.552, 0.314, 0.250], [0.685, 0.574, 0.118], [0.516, 0.319, 0.920], [0.617, 0.954, 0.076], [0.383, 0.046, 0.576], [0.484, 0.681, 0.080], [0.617, 0.954, 0.424], [0.685, 0.574, 0.382], [0.484, 0.681, 0.420]]}



Please write out number 2 again, unchanged.
{"formula": "YPu2Sc6", "functional": "PBE-GGA", "state": "relaxed", "e_tot_ev_per_atom": -7.995, "e_form_ev_per_atom": 0.129, "crystal_system": "monoclinic", "space_group": "C2/c, No. 15", "cell": [[-0.671, -7.699, 2.899], [2.526, -1.296, 8.004], [-5.486, 1.674, 5.936]], "species": ["Pu", "Sc", "Sc", "Pu", "Sc", "Sc", "Y", "Y", "Sc", "Sc", "Sc", "Sc", "Sc", "Sc", "Pu", "Sc", "Sc", "Pu"], "frac_coords": [[0.775, 0.571, 0.588], [0.988, 0.692, 0.801], [0.613, 0.643, 0.922], [0.588, 0.071, 0.775], [0.199, 0.808, 0.012], [0.672, 0.031, 0.417], [0.834, 0.750, 0.166], [0.166, 0.250, 0.834], [0.012, 0.308, 0.199], [0.328, 0.969, 0.583], [0.078, 0.857, 0.387], [0.387, 0.357, 0.078], [0.417, 0.531, 0.672], [0.922, 0.143, 0.613], [0.225, 0.429, 0.412], [0.583, 0.469, 0.328], [0.801, 0.192, 0.988], [0.412, 0.929, 0.225]]}